The following is a DFT calculation (GGA-PBE) of ScTc2Ru after structural relaxation.

Properties
formation energy: 0.14 eV per atom
excess energy over the best structure of this formula in the dataset: 254 meV per atom

Lattice parameters (Å, degrees): 2.770 2.770 8.761 90.00 90.00 111.99
Element x y z (fractional)
1 Ru 0.000 0.000 0.496
2 Tc 0.000 0.000 0.010
3 Sc 0.500 0.500 0.745
4 Tc 0.500 0.500 0.249

The following is a DFT calculation (GGA-PBE) of K3Ce3MoS8 after structural relaxation.

Properties
formation energy (no corrections): -1.52 eV/atom

Lattice parameters (Å, degrees): 8.082 8.082 8.831 117.23 90.00 120.00
Element x y z (fractional)
1 Ce 0.500 0.500 0.500
2 K 0.000 0.000 0.000
3 K 0.000 0.500 0.000
4 S 0.784 0.027 0.311
5 S 0.243 0.027 0.311
6 Mo 0.000 0.000 0.500
7 S 0.757 0.973 0.689
8 K 0.500 0.500 0.000
9 Ce 0.000 0.500 0.500
10 S 0.784 0.567 0.311
11 S 0.736 0.472 0.708
12 S 0.216 0.433 0.689
13 Ce 0.500 0.000 0.500
14 S 0.216 0.973 0.689
15 S 0.264 0.528 0.292

The following is a DFT calculation (GGA-PBE) of Li2TaAu after structural relaxation.

Properties
formation energy: 0.33 eV per atom
excess energy over the best structure of this formula in the dataset: 319 meV per atom

Lattice parameters (Å, degrees): 4.337 4.337 4.337 60.00 60.00 60.00
Element x y z (fractional)
1 Ta 0.000 0.000 0.000
2 Li 0.750 0.750 0.750
3 Au 0.500 0.500 0.500
4 Li 0.250 0.250 0.250

The following is a DFT calculation (GGA-PBE) of ZnCoCl2 after structural relaxation.

Properties
excess energy over the best structure of this formula in the dataset: 225 meV per atom
formation energy (no corrections): -0.11 eV/atom

Lattice parameters (Å, degrees): 6.957 6.957 6.731 58.88 58.88 90.00
Element x y z (fractional)
1 Cl 0.245 0.625 0.250
2 Co 0.250 0.750 0.500
3 Cl 0.875 0.755 0.750
4 Zn 0.000 0.000 0.000
5 Co 0.500 0.500 0.000
6 Cl 0.375 0.495 0.750
7 Zn 0.750 0.250 0.500
8 Cl 0.505 0.125 0.250

The following is a DFT calculation (GGA-PBE) of Pm2Sm2Mg3 after structural relaxation.

Properties
formation energy: -0.08 eV per atom
excess energy over the best structure of this formula in the dataset: 0 meV per atom

Lattice parameters (Å, degrees): 3.817 3.817 14.447 97.57 82.41 90.00
Element x y z (fractional)
1 Mg 0.138 0.862 0.724
2 Pm 0.568 0.432 0.864
3 Sm 0.293 0.707 0.415
4 Sm 0.707 0.293 0.585
5 Pm 0.432 0.568 0.136
6 Mg 0.862 0.138 0.276
7 Mg 0.000 0.000 0.000

The following is a DFT calculation (GGA-PBE) of Li2CuSiO4 after structural relaxation.

Properties
excess energy over the best structure of this formula in the dataset: 0 meV per atom
formation energy (no corrections): -1.99 eV/atom

Lattice parameters (Å, degrees): 5.173 6.300 10.475 90.00 90.00 90.00
Element x y z (fractional)
1 Li 0.709 0.013 0.829
2 O 0.287 0.250 0.076
3 Li 0.709 0.487 0.829
4 Si 0.198 0.250 0.925
5 O 0.816 0.539 0.649
6 Li 0.791 0.487 0.329
7 Cu 0.680 0.250 0.083
8 O 0.880 0.250 0.917
9 O 0.684 0.539 0.149
10 O 0.213 0.250 0.576
11 O 0.380 0.750 0.583
12 O 0.787 0.750 0.424
13 Li 0.291 0.987 0.171
14 Li 0.209 0.513 0.671
15 O 0.120 0.750 0.083
16 O 0.184 0.461 0.351
17 Si 0.302 0.250 0.425
18 O 0.713 0.750 0.924
19 O 0.684 0.961 0.149
20 Cu 0.180 0.750 0.417
21 Si 0.698 0.750 0.575
22 O 0.316 0.461 0.851
23 O 0.620 0.250 0.417
24 O 0.316 0.039 0.851
25 Li 0.291 0.513 0.171
26 Cu 0.820 0.250 0.583
27 Li 0.209 0.987 0.671
28 Cu 0.320 0.750 0.917
29 O 0.816 0.961 0.649
30 O 0.184 0.039 0.351
31 Li 0.791 0.013 0.329
32 Si 0.802 0.750 0.075

The following is a DFT calculation (GGA-PBE) of HfAlFe after structural relaxation.

Properties
formation energy: -0.35 eV per atom

Lattice parameters (Å, degrees): 4.310 6.598 6.633 90.00 90.00 90.00
Element x y z (fractional)
1 Fe 0.250 0.449 0.658
2 Al 0.250 0.387 0.300
3 Fe 0.750 0.949 0.842
4 Hf 0.750 0.196 0.527
5 Fe 0.750 0.551 0.342
6 Al 0.750 0.613 0.700
7 Fe 0.250 0.051 0.158
8 Al 0.750 0.887 0.200
9 Al 0.250 0.113 0.800
10 Hf 0.250 0.804 0.473
11 Hf 0.750 0.304 0.027
12 Hf 0.250 0.696 0.973

The following is a DFT calculation (GGA-PBE) of Tb2BC after structural relaxation.

Properties
formation energy: -0.11 eV per atom

Lattice parameters (Å, degrees): 3.559 3.045 6.998 102.64 104.74 90.02
Element x y z (fractional)
1 Tb 0.865 0.874 0.732
2 C 0.500 0.009 0.000
3 Tb 0.135 0.144 0.268
4 B 0.500 0.509 0.000

The following is a DFT calculation (GGA-PBE) of Pm5YSc4 after structural relaxation.

Properties
formation energy: 0.05 eV per atom

Lattice parameters (Å, degrees): 3.576 3.576 23.400 90.00 90.00 90.00
Element x y z (fractional)
1 Sc 0.000 0.000 0.403
2 Sc 0.000 0.000 0.597
3 Pm 0.500 0.500 0.500
4 Sc 0.000 0.000 0.793
5 Pm 0.500 0.500 0.695
6 Pm 0.500 0.500 0.891
7 Sc 0.000 0.000 0.207
8 Pm 0.500 0.500 0.305
9 Pm 0.500 0.500 0.109
10 Y 0.000 0.000 0.000

The following is a DFT calculation (GGA-PBE) of LiTeAs2 after structural relaxation.

Properties
formation energy (no corrections): 0.01 eV/atom

Lattice parameters (Å, degrees): 4.865 4.865 3.833 90.00 90.00 108.57
Element x y z (fractional)
1 Te 0.000 0.500 0.500
2 Li 0.500 0.000 0.500
3 As 0.500 0.500 0.000
4 As 0.000 0.000 0.000

Number 1: total magnetization 0.00 μB per formula unit. Number 2: total magnetization 5.03 μB per formula unit. Number 3: total magnetization 0.00 μB per formula unit. Number 4: total magnetization 2.99 μB per formula unit. Number 5: total magnetization 0.00 μB per formula unit. Number 6: total magnetization 1.02 μB per formula unit. Number 7: total magnetization 0.00 μB per formula unit. Number 8: total magnetization 0.00 μB per formula unit. Number 9: total magnetization 0.00 μB per formula unit. Number 10: total magnetization 0.00 μB per formula unit.